No. 1
# PBE Tb6HoTl5, optimized geometry
data_Tb6HoTl5
_chemical_formula_sum 'Tb6 Ho1 Tl5'
_cell_length_a 9.157
_cell_length_b 9.157
_cell_length_c 9.157
_cell_angle_alpha 148.22
_cell_angle_beta 122.16
_cell_angle_gamma 67.52
_space_group_name_H-M_alt 'P 1'
_space_group_IT_number 1
loop_
_space_group_symop_operation_xyz
'x,y,z'
loop_
_atom_site_label
_atom_site_type_symbol
_atom_site_fract_x
_atom_site_fract_y
_atom_site_fract_z
Tb1 Tb 0.066 0.330 0.737
Tb2 Tb 0.228 0.000 0.228
Tb3 Tb 0.407 0.670 0.737
Tb4 Tb 0.593 0.330 0.263
Tb5 Tb 0.772 0.000 0.772
Tb6 Tb 0.934 0.670 0.263
Ho1 Ho 0.500 0.500 0.000
Tl1 Tl 0.000 0.500 0.500
Tl2 Tl 0.178 0.178 0.000
Tl3 Tl 0.352 0.852 0.500
Tl4 Tl 0.648 0.148 0.500
Tl5 Tl 0.822 0.822 0.000
# E_form (kJ/mol of formula units): -324.5
# Total energy (eV per atom): -3.963

---

No. 2
# PBE Tb2Ho3Tl3, optimized geometry
data_Tb2Ho3Tl3
_chemical_formula_sum 'Tb4 Ho6 Tl6'
_cell_length_a 4.402
_cell_length_b 4.942
_cell_length_c 20.648
_cell_angle_alpha 90.00
_cell_angle_beta 90.00
_cell_angle_gamma 90.00
_space_group_name_H-M_alt 'P 1'
_space_group_IT_number 1
loop_
_space_group_symop_operation_xyz
'x,y,z'
loop_
_atom_site_label
_atom_site_type_symbol
_atom_site_fract_x
_atom_site_fract_y
_atom_site_fract_z
Tb1 Tb 0.000 0.000 0.238
Tb2 Tb 0.000 0.000 0.762
Tb3 Tb 0.500 0.500 0.262
Tb4 Tb 0.500 0.500 0.738
Ho1 Ho 0.000 0.000 0.000
Ho2 Ho 0.000 0.500 0.119
Ho3 Ho 0.000 0.500 0.881
Ho4 Ho 0.500 0.000 0.381
Ho5 Ho 0.500 0.000 0.619
Ho6 Ho 0.500 0.500 0.500
Tl1 Tl 0.000 0.000 0.500
Tl2 Tl 0.000 0.500 0.374
Tl3 Tl 0.000 0.500 0.626
Tl4 Tl 0.500 0.000 0.126
Tl5 Tl 0.500 0.000 0.874
Tl6 Tl 0.500 0.500 0.000
# E_form (kJ/mol of formula units): -187.6
# Total energy (eV per atom): -4.005

---

No. 3
# PBE TbHoTl4, optimized geometry
data_TbHoTl4
_chemical_formula_sum 'Tb2 Ho2 Tl8'
_cell_length_a 7.086
_cell_length_b 7.103
_cell_length_c 7.615
_cell_angle_alpha 90.00
_cell_angle_beta 90.00
_cell_angle_gamma 90.00
_space_group_name_H-M_alt 'P 1'
_space_group_IT_number 1
loop_
_space_group_symop_operation_xyz
'x,y,z'
loop_
_atom_site_label
_atom_site_type_symbol
_atom_site_fract_x
_atom_site_fract_y
_atom_site_fract_z
Tb1 Tb 0.000 0.000 0.000
Tb2 Tb 0.500 0.500 0.000
Ho1 Ho 0.000 0.500 0.500
Ho2 Ho 0.500 0.000 0.500
Tl1 Tl 0.250 0.250 0.252
Tl2 Tl 0.250 0.250 0.748
Tl3 Tl 0.250 0.750 0.252
Tl4 Tl 0.250 0.750 0.748
Tl5 Tl 0.750 0.250 0.252
Tl6 Tl 0.750 0.250 0.748
Tl7 Tl 0.750 0.750 0.252
Tl8 Tl 0.750 0.750 0.748
# E_form (kJ/mol of formula units): 2.9
# Total energy (eV per atom): -3.107

---

No. 4
# PBE Tb5Ho12Tl2, optimized geometry
data_Tb5Ho12Tl2
_chemical_formula_sum 'Tb5 Ho12 Tl2'
_cell_length_a 8.974
_cell_length_b 8.974
_cell_length_c 8.261
_cell_angle_alpha 91.50
_cell_angle_beta 91.50
_cell_angle_gamma 62.47
_space_group_name_H-M_alt 'P 1'
_space_group_IT_number 1
loop_
_space_group_symop_operation_xyz
'x,y,z'
loop_
_atom_site_label
_atom_site_type_symbol
_atom_site_fract_x
_atom_site_fract_y
_atom_site_fract_z
Tb1 Tb 0.000 0.000 0.000
Tb2 Tb 0.235 0.235 0.082
Tb3 Tb 0.312 0.312 0.496
Tb4 Tb 0.688 0.688 0.504
Tb5 Tb 0.765 0.765 0.918
Ho1 Ho 0.035 0.665 0.263
Ho2 Ho 0.085 0.085 0.385
Ho3 Ho 0.179 0.570 0.842
Ho4 Ho 0.335 0.965 0.737
Ho5 Ho 0.430 0.821 0.158
Ho6 Ho 0.447 0.447 0.179
Ho7 Ho 0.553 0.553 0.821
Ho8 Ho 0.570 0.179 0.842
Ho9 Ho 0.665 0.035 0.263
Ho10 Ho 0.821 0.430 0.158
Ho11 Ho 0.915 0.915 0.615
Ho12 Ho 0.965 0.335 0.737
Tl1 Tl 0.312 0.688 0.500
Tl2 Tl 0.688 0.312 0.500
# E_form (kJ/mol of formula units): 40.2
# Total energy (eV per atom): -4.337

---

No. 5
# PBE TbHo8Tl6, optimized geometry
data_TbHo8Tl6
_chemical_formula_sum 'Tb1 Ho8 Tl6'
_cell_length_a 8.341
_cell_length_b 8.341
_cell_length_c 8.341
_cell_angle_alpha 65.81
_cell_angle_beta 65.81
_cell_angle_gamma 65.81
_space_group_name_H-M_alt 'P 1'
_space_group_IT_number 1
loop_
_space_group_symop_operation_xyz
'x,y,z'
loop_
_atom_site_label
_atom_site_type_symbol
_atom_site_fract_x
_atom_site_fract_y
_atom_site_fract_z
Tb1 Tb 0.000 0.000 0.000
Ho1 Ho 0.109 0.776 0.443
Ho2 Ho 0.224 0.557 0.891
Ho3 Ho 0.333 0.333 0.333
Ho4 Ho 0.443 0.109 0.776
Ho5 Ho 0.557 0.891 0.224
Ho6 Ho 0.667 0.667 0.667
Ho7 Ho 0.776 0.443 0.109
Ho8 Ho 0.891 0.224 0.557
Tl1 Tl 0.065 0.399 0.730
Tl2 Tl 0.270 0.935 0.601
Tl3 Tl 0.399 0.730 0.065
Tl4 Tl 0.601 0.270 0.935
Tl5 Tl 0.730 0.065 0.399
Tl6 Tl 0.935 0.601 0.270
# E_form (kJ/mol of formula units): -183.3
# Total energy (eV per atom): -3.823

---

No. 6
# PBE Tb12HoTl6, optimized geometry
data_Tb12HoTl6
_chemical_formula_sum 'Tb12 Ho1 Tl6'
_cell_length_a 8.958
_cell_length_b 8.958
_cell_length_c 8.958
_cell_angle_alpha 103.85
_cell_angle_beta 103.85
_cell_angle_gamma 103.85
_space_group_name_H-M_alt 'P 1'
_space_group_IT_number 1
loop_
_space_group_symop_operation_xyz
'x,y,z'
loop_
_atom_site_label
_atom_site_type_symbol
_atom_site_fract_x
_atom_site_fract_y
_atom_site_fract_z
Tb1 Tb 0.000 0.372 0.628
Tb2 Tb 0.000 0.628 0.372
Tb3 Tb 0.054 0.054 0.320
Tb4 Tb 0.054 0.320 0.054
Tb5 Tb 0.320 0.054 0.054
Tb6 Tb 0.372 0.000 0.628
Tb7 Tb 0.372 0.628 0.000
Tb8 Tb 0.628 0.000 0.372
Tb9 Tb 0.628 0.372 0.000
Tb10 Tb 0.680 0.946 0.946
Tb11 Tb 0.946 0.680 0.946
Tb12 Tb 0.946 0.946 0.680
Ho1 Ho 0.500 0.500 0.500
Tl1 Tl 0.191 0.741 0.741
Tl2 Tl 0.259 0.259 0.809
Tl3 Tl 0.259 0.809 0.259
Tl4 Tl 0.741 0.191 0.741
Tl5 Tl 0.741 0.741 0.191
Tl6 Tl 0.809 0.259 0.259
# E_form (kJ/mol of formula units): 51.5
# Total energy (eV per atom): -3.884

---

No. 7
# PBE Tb5HoTl3, optimized geometry
data_Tb5HoTl3
_chemical_formula_sum 'Tb10 Ho2 Tl6'
_cell_length_a 9.400
_cell_length_b 9.400
_cell_length_c 6.740
_cell_angle_alpha 90.00
_cell_angle_beta 90.00
_cell_angle_gamma 120.00
_space_group_name_H-M_alt 'P 1'
_space_group_IT_number 1
loop_
_space_group_symop_operation_xyz
'x,y,z'
loop_
_atom_site_label
_atom_site_type_symbol
_atom_site_fract_x
_atom_site_fract_y
_atom_site_fract_z
Tb1 Tb 0.000 0.334 0.250
Tb2 Tb 0.000 0.666 0.750
Tb3 Tb 0.333 0.667 0.000
Tb4 Tb 0.333 0.667 0.500
Tb5 Tb 0.334 0.000 0.250
Tb6 Tb 0.334 0.334 0.750
Tb7 Tb 0.666 0.000 0.750
Tb8 Tb 0.666 0.666 0.250
Tb9 Tb 0.667 0.333 0.000
Tb10 Tb 0.667 0.333 0.500
Ho1 Ho 0.000 0.000 0.000
Ho2 Ho 0.000 0.000 0.500
Tl1 Tl 0.000 0.332 0.750
Tl2 Tl 0.000 0.668 0.250
Tl3 Tl 0.332 0.000 0.750
Tl4 Tl 0.332 0.332 0.250
Tl5 Tl 0.668 0.000 0.250
Tl6 Tl 0.668 0.668 0.750
# E_form (kJ/mol of formula units): -226.8
# Total energy (eV per atom): -4.131

---

No. 8
# PBE Tb4HoTl2, optimized geometry
data_Tb4HoTl2
_chemical_formula_sum 'Tb8 Ho2 Tl4'
_cell_length_a 6.733
_cell_length_b 10.567
_cell_length_c 6.119
_cell_angle_alpha 90.00
_cell_angle_beta 97.47
_cell_angle_gamma 90.00
_space_group_name_H-M_alt 'P 1'
_space_group_IT_number 1
loop_
_space_group_symop_operation_xyz
'x,y,z'
loop_
_atom_site_label
_atom_site_type_symbol
_atom_site_fract_x
_atom_site_fract_y
_atom_site_fract_z
Tb1 Tb 0.000 0.209 0.000
Tb2 Tb 0.000 0.791 0.000
Tb3 Tb 0.250 0.250 0.500
Tb4 Tb 0.250 0.750 0.500
Tb5 Tb 0.500 0.291 0.000
Tb6 Tb 0.500 0.709 0.000
Tb7 Tb 0.750 0.250 0.500
Tb8 Tb 0.750 0.750 0.500
Ho1 Ho 0.000 0.000 0.500
Ho2 Ho 0.500 0.500 0.500
Tl1 Tl 0.088 0.500 0.771
Tl2 Tl 0.412 0.000 0.229
Tl3 Tl 0.588 0.000 0.771
Tl4 Tl 0.912 0.500 0.229
# E_form (kJ/mol of formula units): 69.3
# Energy above the most stable polymorph in this dataset (eV/atom): 0.042
# Total energy (eV per atom): -3.873

---

No. 9
# PBE Tb4HoTl2, optimized geometry
data_Tb4HoTl2
_chemical_formula_sum 'Tb4 Ho1 Tl2'
_cell_length_a 9.358
_cell_length_b 9.358
_cell_length_c 9.358
_cell_angle_alpha 34.12
_cell_angle_beta 34.12
_cell_angle_gamma 34.12
_space_group_name_H-M_alt 'P 1'
_space_group_IT_number 1
loop_
_space_group_symop_operation_xyz
'x,y,z'
loop_
_atom_site_label
_atom_site_type_symbol
_atom_site_fract_x
_atom_site_fract_y
_atom_site_fract_z
Tb1 Tb 0.131 0.131 0.131
Tb2 Tb 0.264 0.264 0.264
Tb3 Tb 0.736 0.736 0.736
Tb4 Tb 0.869 0.869 0.869
Ho1 Ho 0.500 0.500 0.500
Tl1 Tl 0.382 0.382 0.382
Tl2 Tl 0.618 0.618 0.618
# E_form (kJ/mol of formula units): 40.9
# Energy above the most stable polymorph in this dataset (eV/atom): 0.000
# Total energy (eV per atom): -3.915

---

No. 10
# PBE TbHo4Tl2, optimized geometry
data_TbHo4Tl2
_chemical_formula_sum 'Tb1 Ho4 Tl2'
_cell_length_a 7.948
_cell_length_b 6.765
_cell_length_c 6.384
_cell_angle_alpha 74.32
_cell_angle_beta 55.03
_cell_angle_gamma 50.65
_space_group_name_H-M_alt 'P 1'
_space_group_IT_number 1
loop_
_space_group_symop_operation_xyz
'x,y,z'
loop_
_atom_site_label
_atom_site_type_symbol
_atom_site_fract_x
_atom_site_fract_y
_atom_site_fract_z
Tb1 Tb 0.000 0.000 0.000
Ho1 Ho 0.250 0.250 0.250
Ho2 Ho 0.331 0.669 0.331
Ho3 Ho 0.669 0.331 0.669
Ho4 Ho 0.750 0.750 0.750
Tl1 Tl 0.276 0.276 0.724
Tl2 Tl 0.724 0.724 0.276
# E_form (kJ/mol of formula units): -30.5
# Energy above the most stable polymorph in this dataset (eV/atom): 0.000
# Total energy (eV per atom): -3.999